Entry 1:
The following is a GGA-PBE calculation of a relaxed LiNi2Sb crystal, from OQMD via LeMat-Bulk.

Summary:
**Total energy**: -72.45 eV per cell
**SG**: P4/mmm

Cell lengths 5.451, 5.451, 7.220 Å; angles 90.00, 90.00, 90.00 degrees
Fractional coordinates of all 16 atoms:
Ni  0.000  0.500  0.250
Ni  0.000  0.500  0.750
Ni  0.500  0.000  0.750
Sb  0.750  0.250  0.000
Li  0.750  0.750  0.000
Li  0.750  0.750  0.500
Ni  0.500  0.500  0.750
Li  0.250  0.250  0.500
Ni  0.000  0.000  0.250
Sb  0.250  0.750  0.500
Ni  0.500  0.000  0.250
Sb  0.750  0.250  0.500
Li  0.250  0.250  0.000
Ni  0.500  0.500  0.250
Sb  0.250  0.750  0.000
Ni  0.000  0.000  0.750

Entry 2:
The following is a GGA-PBE calculation of a relaxed Dy2LuAl5 crystal, from OQMD via LeMat-Bulk.

Summary:
**Total energy**: -34.94 eV per cell
**SG**: Amm2

Cell lengths 4.806, 6.337, 6.337 Å; angles 62.25, 90.00, 90.00 degrees
Fractional coordinates of all 8 atoms:
Dy  0.500  0.348  0.348
Al  0.500  0.304  0.847
Dy  0.000  0.655  0.655
Al  0.000  0.698  0.133
Al  0.000  0.133  0.698
Al  0.500  0.855  0.855
Lu  0.000  0.160  0.160
Al  0.500  0.847  0.304

Entry 3:
The following is a GGA-PBE calculation of a relaxed HfAl2Re2 crystal, from OQMD via LeMat-Bulk.

Summary:
**Energy relative to the lowest polymorph listed for this composition**: 91 meV per atom
**SG**: I4/mmm

Cell lengths 6.122, 6.122, 6.122 Å; angles 141.16, 141.16, 56.09 degrees
Fractional coordinates of all 5 atoms:
Re  0.606  0.606  0.000
Al  0.750  0.250  0.500
Al  0.250  0.750  0.500
Hf  0.000  0.000  0.000
Re  0.394  0.394  0.000

Entry 4:
The following is a GGA-PBE calculation of a relaxed Hf2CdPb2 crystal, from OQMD via LeMat-Bulk.

Summary:
**Energy relative to the lowest polymorph listed for this composition**: 28 meV per atom
**SG**: I4/mmm

Cell lengths 4.594, 4.594, 7.363 Å; angles 108.18, 108.18, 90.00 degrees
Fractional coordinates of all 5 atoms:
Pb  0.390  0.390  0.780
Pb  0.610  0.610  0.220
Hf  0.250  0.750  0.500
Hf  0.750  0.250  0.500
Cd  0.000  0.000  0.000